No. 1
DFT (PBE-GGA) results for an optimized crystal structure of ZrSbPb2.

Cell lengths 5.1995, 5.1995, 3.9396 Å; angles 90.00, 90.00, 90.00 degrees
Closest atoms and distances in Å follow each position.
Space group P4/mmm (No. 123)
Unique sites:
Zr: 0.0000 0.0000 0.0000 [1 per cell]  8 Pb 3.26
Sb: 0.5000 0.5000 0.0000 [1 per cell]  8 Pb 3.26
Pb: 0.0000 0.5000 0.5000 [2 per cell]  4 Zr 3.26, 4 Sb 3.26


No. 2
DFT (PBE-GGA) results for an optimized crystal structure of ZrSb4Pb.

Cell lengths 8.7508, 8.7508, 8.7508 Å; angles 90.00, 90.00, 90.00 degrees
Closest atoms and distances in Å follow each position.
Space group F-43m (No. 216)
Unique sites:
Zr: 0.0000 0.0000 0.0000 [4 per cell]  12 Sb 3.63, 4 Pb 3.79
Sb: 0.1257 0.1257 0.3743 [16 per cell]  6 Sb 3.08-3.11
Pb: 0.2500 0.2500 0.7500 [4 per cell]  12 Sb 3.63, 4 Zr 3.79


Number 1: size of the total moment 0.00 μB/atom, raw formation energy 0.075 eV per atom. Number 2: size of the total moment 0.00 μB/atom, raw formation energy 0.310 eV per atom.